Record 1
This record from Alexandria describes crystalline MgMnMo2 at its relaxed geometry. The functional is GGA-PBEsol.

Results
Size of the total moment ... 0.583 μB per atom
DOS(E_F) ... 3.422 states/eV/f.u.
E_form ... 0.431 eV/atom

a b c (Å): 5.211 8.777 2.606
angles (deg): 90.00 90.00 90.00
Space group Cmmm (No. 65)
Inequivalent atoms, fractional coordinates:
Mg: 0.000 0.000 0.000 x2
Mn: 0.000 0.500 0.000 x2
Mo: 0.250 0.250 0.500 x4

=====

Record 2
This record from Alexandria describes crystalline TcSb2Pb at its relaxed geometry. The functional is GGA-PBEsol.

Results
Size of the total moment ... 0.000 μB per atom
Raw formation energy ... 0.17 eV per formula unit
DOS(E_F) ... 1.924 states/eV/f.u.

a b c (Å): 3.295 3.295 8.128
angles (deg): 90.00 90.00 90.00
Space group P4/mmm (No. 123)
Inequivalent atoms, fractional coordinates:
Tc: 0.000 0.000 0.000 x1
Sb: 0.500 0.500 0.195 x2
Pb: 0.000 0.000 0.500 x1

=====

Record 3
This record from Alexandria describes crystalline La2ScFe at its relaxed geometry. The functional is GGA-PBEsol.

Results
Size of the total moment ... 0.001 μB per atom
DOS(E_F) ... 4.876 states/eV/f.u.
E_form ... 0.157 eV/atom

a b c (Å): 3.424 5.327 10.821
angles (deg): 90.00 90.00 90.00
Space group Imm2 (No. 44)
Inequivalent atoms, fractional coordinates:
La: 0.000 0.000 0.000 x2
La: 0.000 0.500 0.186 x2
Sc: 0.000 0.500 0.816 x2
Fe: 0.000 0.000 0.487 x2

=====

Record 4
This record from Alexandria describes crystalline Mg2GaPd2 at its relaxed geometry. The functional is GGA-PBEsol.

Results
Size of the total moment ... 0.000 μB per atom
DOS(E_F) ... 1.637 states/eV/f.u.
E_form ... -0.587 eV/atom

a b c (Å): 6.512 6.512 4.008
angles (deg): 90.00 90.00 90.00
Space group P4/mbm (No. 127)
Inequivalent atoms, fractional coordinates:
Mg: 0.160 0.340 0.000 x4
Ga: 0.000 0.000 0.500 x2
Pd: 0.148 0.648 0.500 x4